--- one ---
## MoAu2Cl (PBE)

Data for MoAu2Cl after structural relaxation.

```
data_MoAu2Cl
_cell_length_a 5.233
_cell_length_b 5.233
_cell_length_c 2.764
_cell_angle_alpha 90.00
_cell_angle_beta 90.00
_cell_angle_gamma 90.00
_space_group_name_H-M_alt 'P 4/m m m'
_space_group_IT_number 123
_space_group_name_Hall '-P 4 2'
loop_
_atom_site_label
_atom_site_type_symbol
_atom_site_fract_x
_atom_site_fract_y
_atom_site_fract_z
Mo1 Mo 0.000 0.000 0.000
Au1 Au 0.000 0.500 0.500
Cl1 Cl 0.500 0.500 0.000
```

The calculated volume is 18.93 A^3/atom. The calculation puts the mass density at 11.5 g/cm³. For the density of states at the Fermi level, the calculation gives 6.14 states/eV/f.u.

--- two ---
## MoAu2Cl (PBE)

Data for MoAu2Cl after structural relaxation.

```
data_MoAu2Cl
_cell_length_a 3.865
_cell_length_b 3.865
_cell_length_c 5.244
_cell_angle_alpha 90.00
_cell_angle_beta 90.00
_cell_angle_gamma 90.00
_space_group_name_H-M_alt 'P 4/m m m'
_space_group_IT_number 123
_space_group_name_Hall '-P 4 2'
loop_
_atom_site_label
_atom_site_type_symbol
_atom_site_fract_x
_atom_site_fract_y
_atom_site_fract_z
Mo1 Mo 0.000 0.000 0.000
Au1 Au 0.000 0.500 0.500
Cl1 Cl 0.500 0.500 0.000
```

The calculated volume is 19.58 A^3/atom. The calculation puts the mass density at 11.1 g/cm³. For the density of states at the Fermi level, the calculation gives 2.04 states/eV/f.u.

The most stable of them is two.

--- one ---
## MoAu2Cl (PBE)

Data for MoAu2Cl after structural relaxation.

```
data_MoAu2Cl
_cell_length_a 2.988
_cell_length_b 2.988
_cell_length_c 8.094
_cell_angle_alpha 90.00
_cell_angle_beta 90.00
_cell_angle_gamma 90.00
_space_group_name_H-M_alt 'P 4/m m m'
_space_group_IT_number 123
_space_group_name_Hall '-P 4 2'
loop_
_atom_site_label
_atom_site_type_symbol
_atom_site_fract_x
_atom_site_fract_y
_atom_site_fract_z
Mo1 Mo 0.000 0.000 0.000
Au1 Au 0.500 0.500 0.233
Cl1 Cl 0.000 0.000 0.500
```

The calculated volume is 18.06 A^3/atom. The calculation puts the mass density at 12.1 g/cm³. For the density of states at the Fermi level, the calculation gives 2.59 states/eV/f.u.

--- two ---
## MoAu2Cl (PBE)

Data for MoAu2Cl after structural relaxation.

```
data_MoAu2Cl
_cell_length_a 2.956
_cell_length_b 3.010
_cell_length_c 8.299
_cell_angle_alpha 90.00
_cell_angle_beta 90.15
_cell_angle_gamma 90.00
_space_group_name_H-M_alt 'P 1 2/m 1'
_space_group_IT_number 10
loop_
_space_group_symop_operation_xyz
'x,y,z'
'-x,-y,-z'
'-x,y,-z'
'x,-y,z'
loop_
_atom_site_label
_atom_site_type_symbol
_atom_site_fract_x
_atom_site_fract_y
_atom_site_fract_z
Mo1 Mo 0.000 0.000 0.000
Au1 Au 0.498 0.500 0.771
Cl1 Cl 0.500 0.000 0.500
```

The calculated volume is 18.46 A^3/atom. The calculation puts the mass density at 11.8 g/cm³. For the density of states at the Fermi level, the calculation gives 2.52 states/eV/f.u.

The most stable of them is two.

--- one ---
## MoAu2Cl (PBE)

Data for MoAu2Cl after structural relaxation.

```
data_MoAu2Cl
_cell_length_a 8.243
_cell_length_b 2.890
_cell_length_c 6.215
_cell_angle_alpha 90.00
_cell_angle_beta 99.31
_cell_angle_gamma 90.00
_space_group_name_H-M_alt 'C 1 m 1'
_space_group_IT_number 8
loop_
_space_group_symop_operation_xyz
'x,y,z'
'x,-y,z'
'x+1/2,y+1/2,z'
'x+1/2,-y+1/2,z'
loop_
_atom_site_label
_atom_site_type_symbol
_atom_site_fract_x
_atom_site_fract_y
_atom_site_fract_z
Mo1 Mo 0.000 0.000 0.000
Au1 Au 0.014 0.500 0.439
Au2 Au 0.267 0.000 0.706
Cl1 Cl 0.237 0.500 0.137
```

The calculated volume is 18.27 A^3/atom. The calculation puts the mass density at 11.9 g/cm³. For the density of states at the Fermi level, the calculation gives 2.04 states/eV/f.u.

--- two ---
## MoAu2Cl (PBE)

Data for MoAu2Cl after structural relaxation.

```
data_MoAu2Cl
_cell_length_a 3.0661
_cell_length_b 3.0661
_cell_length_c 26.3632
_cell_angle_alpha 90.00
_cell_angle_beta 90.00
_cell_angle_gamma 120.00
_space_group_name_H-M_alt 'R -3 m'
_space_group_IT_number 166
_space_group_name_Hall '-R 3 2"'
loop_
_atom_site_label
_atom_site_type_symbol
_atom_site_fract_x
_atom_site_fract_y
_atom_site_fract_z
Mo1 Mo 0.0000 0.0000 0.0000
Au1 Au 0.0000 0.0000 0.2514
Cl1 Cl 0.0000 0.0000 0.5000
```

The calculated volume is 17.89 A^3/atom. The calculation puts the mass density at 12.2 g/cm³. For the density of states at the Fermi level, the calculation gives 1.96 states/eV/f.u.

--- three ---
## MoAu2Cl (PBE)

Data for MoAu2Cl after structural relaxation.

```
data_MoAu2Cl
_cell_length_a 2.868
_cell_length_b 4.564
_cell_length_c 13.676
_cell_angle_alpha 90.00
_cell_angle_beta 90.00
_cell_angle_gamma 90.00
_space_group_name_H-M_alt 'I m m 2'
_space_group_IT_number 44
loop_
_space_group_symop_operation_xyz
'x,y,z'
'-x,-y,z'
'-x,y,z'
'x,-y,z'
'x+1/2,y+1/2,z+1/2'
'-x+1/2,-y+1/2,z+1/2'
'-x+1/2,y+1/2,z+1/2'
'x+1/2,-y+1/2,z+1/2'
loop_
_atom_site_label
_atom_site_type_symbol
_atom_site_fract_x
_atom_site_fract_y
_atom_site_fract_z
Mo1 Mo 0.000 0.000 0.000
Au1 Au 0.000 0.000 0.555
Au2 Au 0.000 0.500 0.679
Cl1 Cl 0.000 0.500 0.358
```

The calculated volume is 22.38 A^3/atom. The calculation puts the mass density at 9.7 g/cm³. For the density of states at the Fermi level, the calculation gives 2.80 states/eV/f.u.

--- four ---
## MoAu2Cl (PBE)

Data for MoAu2Cl after structural relaxation.

```
data_MoAu2Cl
_cell_length_a 6.748
_cell_length_b 6.748
_cell_length_c 6.748
_cell_angle_alpha 90.00
_cell_angle_beta 90.00
_cell_angle_gamma 90.00
_space_group_name_H-M_alt 'F m -3 m'
_space_group_IT_number 225
_space_group_name_Hall '-F 4 2 3'
loop_
_atom_site_label
_atom_site_type_symbol
_atom_site_fract_x
_atom_site_fract_y
_atom_site_fract_z
Mo1 Mo 0.000 0.000 0.000
Au1 Au 0.250 0.250 0.250
Cl1 Cl 0.000 0.000 0.500
```

The calculated volume is 19.20 A^3/atom. The calculation puts the mass density at 11.4 g/cm³. For the density of states at the Fermi level, the calculation gives 4.56 states/eV/f.u.

The most stable of them is three.

--- one ---
## MoAu2Cl (PBE)

Data for MoAu2Cl after structural relaxation.

```
data_MoAu2Cl
_cell_length_a 2.925
_cell_length_b 4.608
_cell_length_c 5.498
_cell_angle_alpha 90.00
_cell_angle_beta 90.00
_cell_angle_gamma 90.00
_space_group_name_H-M_alt 'P m m m'
_space_group_IT_number 47
loop_
_space_group_symop_operation_xyz
'x,y,z'
'-x,-y,-z'
'-x,-y,z'
'x,y,-z'
'x,-y,-z'
'-x,y,z'
'-x,y,-z'
'x,-y,z'
loop_
_atom_site_label
_atom_site_type_symbol
_atom_site_fract_x
_atom_site_fract_y
_atom_site_fract_z
Mo1 Mo 0.000 0.000 0.000
Au1 Au 0.000 0.500 0.500
Au2 Au 0.500 0.000 0.500
Cl1 Cl 0.500 0.500 0.000
```

The calculated volume is 18.53 A^3/atom. The calculation puts the mass density at 11.8 g/cm³. For the density of states at the Fermi level, the calculation gives 2.93 states/eV/f.u.

--- two ---
## MoAu2Cl (PBE)

Data for MoAu2Cl after structural relaxation.

```
data_MoAu2Cl
_cell_length_a 6.540
_cell_length_b 6.540
_cell_length_c 6.540
_cell_angle_alpha 90.00
_cell_angle_beta 90.00
_cell_angle_gamma 90.00
_space_group_name_H-M_alt 'F -4 3 m'
_space_group_IT_number 216
_space_group_name_Hall 'F -4 2 3'
loop_
_atom_site_label
_atom_site_type_symbol
_atom_site_fract_x
_atom_site_fract_y
_atom_site_fract_z
Mo1 Mo 0.000 0.000 0.000
Au1 Au 0.000 0.000 0.500
Au2 Au 0.250 0.250 0.250
Cl1 Cl 0.250 0.250 0.750
```

The calculated volume is 17.49 A^3/atom. The calculation puts the mass density at 12.5 g/cm³. For the density of states at the Fermi level, the calculation gives 3.39 states/eV/f.u.

The most stable of them is one.

--- one ---
## MoAu3Cl (PBE)

Data for MoAu3Cl after structural relaxation.

```
data_MoAu3Cl
_cell_length_a 4.910
_cell_length_b 4.910
_cell_length_c 4.910
_cell_angle_alpha 90.00
_cell_angle_beta 90.00
_cell_angle_gamma 90.00
_space_group_name_H-M_alt 'P m -3 m'
_space_group_IT_number 221
_space_group_name_Hall '-P 4 2 3'
loop_
_atom_site_label
_atom_site_type_symbol
_atom_site_fract_x
_atom_site_fract_y
_atom_site_fract_z
Mo1 Mo 0.000 0.000 0.000
Au1 Au 0.000 0.500 0.500
Cl1 Cl 0.500 0.500 0.500
```

The calculated volume is 23.67 A^3/atom. The calculation puts the mass density at 10.1 g/cm³. For the density of states at the Fermi level, the calculation gives 3.05 states/eV/f.u.

--- two ---
## MoAu3Cl (PBE)

Data for MoAu3Cl after structural relaxation.

```
data_MoAu3Cl
_cell_length_a 5.083
_cell_length_b 5.083
_cell_length_c 5.083
_cell_angle_alpha 90.00
_cell_angle_beta 90.00
_cell_angle_gamma 90.00
_space_group_name_H-M_alt 'P m -3 m'
_space_group_IT_number 221
_space_group_name_Hall '-P 4 2 3'
loop_
_atom_site_label
_atom_site_type_symbol
_atom_site_fract_x
_atom_site_fract_y
_atom_site_fract_z
Mo1 Mo 0.000 0.000 0.000
Au1 Au 0.000 0.000 0.500
Cl1 Cl 0.500 0.500 0.500
```

The calculated volume is 26.27 A^3/atom. The calculation puts the mass density at 9.1 g/cm³. For the density of states at the Fermi level, the calculation gives 2.99 states/eV/f.u.

The most stable of them is two.

--- one ---
## MoAuCl (PBE)

Data for MoAuCl after structural relaxation.

```
data_MoAuCl
_cell_length_a 6.618
_cell_length_b 6.618
_cell_length_c 6.618
_cell_angle_alpha 90.00
_cell_angle_beta 90.00
_cell_angle_gamma 90.00
_space_group_name_H-M_alt 'F -4 3 m'
_space_group_IT_number 216
_space_group_name_Hall 'F -4 2 3'
loop_
_atom_site_label
_atom_site_type_symbol
_atom_site_fract_x
_atom_site_fract_y
_atom_site_fract_z
Mo1 Mo 0.000 0.000 0.000
Au1 Au 0.250 0.250 0.250
Cl1 Cl 0.000 0.000 0.500
```

The calculated volume is 24.15 A^3/atom. The calculation puts the mass density at 7.5 g/cm³. For the density of states at the Fermi level, the calculation gives 4.24 states/eV/f.u.

--- two ---
## MoAuCl (PBE)

Data for MoAuCl after structural relaxation.

```
data_MoAuCl
_cell_length_a 6.132
_cell_length_b 6.132
_cell_length_c 6.132
_cell_angle_alpha 90.00
_cell_angle_beta 90.00
_cell_angle_gamma 90.00
_space_group_name_H-M_alt 'F -4 3 m'
_space_group_IT_number 216
_space_group_name_Hall 'F -4 2 3'
loop_
_atom_site_label
_atom_site_type_symbol
_atom_site_fract_x
_atom_site_fract_y
_atom_site_fract_z
Mo1 Mo 0.000 0.000 0.000
Au1 Au 0.000 0.000 0.500
Cl1 Cl 0.250 0.250 0.750
```

The calculated volume is 19.22 A^3/atom. The calculation puts the mass density at 9.5 g/cm³. For the density of states at the Fermi level, the calculation gives 2.77 states/eV/f.u.

The most stable of them is one.